(1)
Here is AlAsSe2Cl at its PBEsol-relaxed geometry from Alexandria. Energies are from SCAN.

Unit cell a=4.7113 b=4.7113 c=5.0526 alpha=90.00 beta=90.00 gamma=90.00
Space group P4/mmm (No. 123)
Unique sites:
1 Al 0.0000 0.0000 0.0000 x1
2 As 0.0000 0.0000 0.5000 x1
3 Se 0.0000 0.5000 0.0000 x2
4 Cl 0.5000 0.5000 0.5000 x1

Calculated values
As for the total energy: -14.962 eV per atom. The value obtained for the total magnetization is 0.00 μB per atom. The calculation puts the density of states at the Fermi level at 3.80 states/eV/f.u. The calculation puts the formation energy from raw total energies at 0.2538 eV per atom. The calculated volume is 22.43 Å³ per atom.

---

(2)
Here is AlCoAs2 at its PBEsol-relaxed geometry from Alexandria. Energies are from SCAN.

Unit cell a=3.3624 b=4.3594 c=8.2037 alpha=90.00 beta=90.00 gamma=90.00
Space group Imm2 (No. 44)
Unique sites:
1 Al 0.0000 0.0000 0.0000 x2
2 Co 0.0000 0.5000 0.2487 x2
3 As 0.0000 0.0000 0.5465 x2
4 As 0.0000 0.5000 0.7638 x2

Calculated values
As for the total energy: -16.097 eV per atom. The calculation puts the formation energy at 0.262 eV per atom. The value obtained for the total magnetization is 0.00 μB per atom. The calculation puts the density of states at the Fermi level at 2.50 states/eV/f.u. The calculated volume is 15.03 Å³ per atom.

---

(3)
Here is Al2Co2As at its PBEsol-relaxed geometry from Alexandria. Energies are from SCAN.

Unit cell a=6.7763 b=6.7763 c=2.7954 alpha=90.00 beta=90.00 gamma=90.00
Space group P4/mbm (No. 127)
Unique sites:
1 Al 0.1426 0.3574 0.0000 x4
2 Co 0.1531 0.6531 0.5000 x4
3 As 0.0000 0.0000 0.5000 x2

Calculated values
As for the total energy: -14.231 eV per atom. The calculation puts the formation energy at -0.171 eV per atom. The value obtained for the total magnetization is 0.00 μB per atom. The calculation puts the density of states at the Fermi level at 2.88 states/eV/f.u. The calculated volume is 12.84 Å³ per atom.

---

(4)
Here is Al2CoAs at its PBEsol-relaxed geometry from Alexandria. Energies are from SCAN.

Unit cell a=2.7704 b=2.7704 c=7.4937 alpha=90.00 beta=90.00 gamma=90.00
Space group P4/mmm (No. 123)
Unique sites:
1 Al 0.0000 0.0000 0.1960 x2
2 Co 0.5000 0.5000 0.0000 x1
3 As 0.5000 0.5000 0.5000 x1

Calculated values
As for the total energy: -13.456 eV per atom. The calculation puts the formation energy at -0.206 eV per atom. The value obtained for the total magnetization is 0.00 μB per atom. The calculation puts the density of states at the Fermi level at 1.42 states/eV/f.u. The calculated volume is 14.38 Å³ per atom.

---

(5)
Here is Al2CoAs at its PBEsol-relaxed geometry from Alexandria. Energies are from SCAN.

Unit cell a=8.4923 b=2.7566 c=5.8036 alpha=90.00 beta=113.01 gamma=90.00
Space group Cm (No. 8)
Unique sites:
1 Al 0.0000 0.0000 0.0000 x2
2 Al 0.1747 0.0000 0.6557 x2
3 Co 0.2317 0.5000 0.0229 x2
4 As 0.3539 0.0000 0.3794 x2

Calculated values
As for the total energy: -13.419 eV per atom. The calculation puts the formation energy at -0.170 eV per atom. The value obtained for the total magnetization is 0.00 μB per atom. The calculation puts the density of states at the Fermi level at 1.32 states/eV/f.u. The calculated volume is 15.63 Å³ per atom.

---

(6)
Here is Al2CoAs at its PBEsol-relaxed geometry from Alexandria. Energies are from SCAN.

Unit cell a=2.6873 b=4.0811 c=10.9699 alpha=90.00 beta=90.00 gamma=90.00
Space group Imm2 (No. 44)
Unique sites:
1 Al 0.0000 0.0000 0.0000 x2
2 Al 0.0000 0.5000 0.1862 x2
3 Co 0.0000 0.0000 0.5007 x2
4 As 0.0000 0.5000 0.8157 x2

Calculated values
As for the total energy: -13.450 eV per atom. The calculation puts the formation energy at -0.200 eV per atom. The value obtained for the total magnetization is 0.00 μB per atom. The calculation puts the density of states at the Fermi level at 1.58 states/eV/f.u. The calculated volume is 15.04 Å³ per atom.

---

(7)
Here is AlCrAs2 at its PBEsol-relaxed geometry from Alexandria. Energies are from SCAN.

Unit cell a=5.6970 b=5.6970 c=10.9950 alpha=90.00 beta=90.00 gamma=90.00
Space group I-42d (No. 122)
Unique sites:
1 Al 0.0000 0.0000 0.0000 x4
2 Cr 0.0000 0.0000 0.5000 x4
3 As 0.2419 0.2500 0.6250 x8

Calculated values
As for the total energy: -16.872 eV per atom. The calculation puts the formation energy at -0.242 eV per atom. The value obtained for the total magnetization is 0.75 μB per atom. The calculation puts the density of states at the Fermi level at 1.47 states/eV/f.u. The calculated volume is 22.30 Å³ per atom.

---

(8)
Here is Al2CrAs at its PBEsol-relaxed geometry from Alexandria. Energies are from SCAN.

Unit cell a=3.1448 b=3.1448 c=5.8907 alpha=90.00 beta=90.00 gamma=90.00
Space group P4mm (No. 99)
Unique sites:
1 Al 0.0000 0.0000 0.0000 x1
2 Al 0.5000 0.5000 0.2820 x1
3 Cr 0.5000 0.5000 0.7442 x1
4 As 0.0000 0.0000 0.5637 x1

Calculated values
As for the total energy: -13.503 eV per atom. The calculation puts the formation energy at 0.017 eV per atom. The value obtained for the total magnetization is 0.59 μB per atom. The calculation puts the density of states at the Fermi level at 2.22 states/eV/f.u. The calculated volume is 14.56 Å³ per atom.